<A>
A geometry-optimized Gd2MgZn structure, computed with PBE-GGA.

## Properties
The space group is Fm-3m.

Unit cell a=5.2422 b=5.2422 c=5.2422 alpha=60.00 beta=60.00 gamma=60.00
Fractional positions:
Gd 0.2500 0.2500 0.2500
Gd 0.7500 0.7500 0.7500
Mg 0.0000 0.0000 0.0000
Zn 0.5000 0.5000 0.5000

***

<B>
A geometry-optimized Gd2MgZn structure, computed with PBE-GGA.

## Properties
The space group is R-3m.

Unit cell a=11.9101 b=11.9101 c=11.9101 alpha=16.09 beta=16.09 gamma=16.09
Fractional positions:
Gd 0.0869 0.0869 0.0869
Gd 0.9131 0.9131 0.9131
Mg 0.5000 0.5000 0.5000
Zn 0.0000 0.0000 0.0000

***

Energies in eV/atom, measured from the most stable structure: <A> 0.000; <B> 0.467.

***

<A>
A geometry-optimized GdMgZr structure, computed with PBE-GGA.

## Properties
The space group is P3m1.

Unit cell a=3.3182 b=3.3182 c=8.2270 alpha=90.00 beta=90.00 gamma=120.00
Fractional positions:
Gd 0.0000 0.0000 0.0000
Mg 0.6667 0.3333 0.3585
Zr 0.3333 0.6667 0.6777

***

<B>
A geometry-optimized GdMgZr structure, computed with PBE-GGA.

## Properties
The space group is I4mm.

Unit cell a=7.2735 b=7.2735 c=7.2735 alpha=153.29 beta=153.29 gamma=38.14
Fractional positions:
Gd 0.0000 0.0000 0.0000
Mg 0.3194 0.3194 0.0000
Zr 0.6663 0.6663 0.0000

***

Energies in eV/atom, measured from the most stable structure: <A> 0.063; <B> 0.000.

***

<A>
A geometry-optimized NdGd2Mn structure, computed with PBE-GGA.

## Properties
The space group is P4/mmm.

Unit cell a=3.5168 b=3.5168 c=9.1202 alpha=90.00 beta=90.00 gamma=90.00
Fractional positions:
Nd 0.0000 0.0000 0.0000
Gd 0.5000 0.5000 0.3060
Gd 0.5000 0.5000 0.6940
Mn 0.0000 0.0000 0.5000

***

<B>
A geometry-optimized NdGd2Mn structure, computed with PBE-GGA.

## Properties
The space group is R-3m.

Unit cell a=5.3886 b=5.3886 c=5.3886 alpha=59.92 beta=59.92 gamma=59.92
Fractional positions:
Nd 0.0000 0.0000 0.0000
Gd 0.2497 0.2497 0.2497
Gd 0.7503 0.7503 0.7503
Mn 0.5000 0.5000 0.5000

***

Energies in eV/atom, measured from the most stable structure: <A> 0.000; <B> 0.153.

***

<A>
A geometry-optimized GdPaMn2 structure, computed with PBE-GGA.

## Properties
The space group is Fm-3m.

Unit cell a=4.7926 b=4.7926 c=4.7926 alpha=60.00 beta=60.00 gamma=60.00
Fractional positions:
Gd 0.0000 0.0000 0.0000
Pa 0.5000 0.5000 0.5000
Mn 0.2500 0.2500 0.2500
Mn 0.7500 0.7500 0.7500

***

<B>
A geometry-optimized GdPaMn2 structure, computed with PBE-GGA.

## Properties
The space group is P4/mmm.

Unit cell a=3.3658 b=3.3658 c=7.0030 alpha=90.00 beta=90.00 gamma=90.00
Fractional positions:
Gd 0.0000 0.0000 0.0000
Pa 0.0000 0.0000 0.5000
Mn 0.5000 0.5000 0.2986
Mn 0.5000 0.5000 0.7014

***

<C>
A geometry-optimized GdPaMn2 structure, computed with PBE-GGA.

## Properties
The space group is R-3m.

Unit cell a=5.6371 b=5.6371 c=5.6371 alpha=44.93 beta=44.93 gamma=44.93
Fractional positions:
Gd 0.0000 0.0000 0.0000
Pa 0.5000 0.5000 0.5000
Mn 0.2033 0.2033 0.2033
Mn 0.7967 0.7967 0.7967

***

Energies in eV/atom, measured from the most stable structure: <A> 0.136; <B> 0.000; <C> 0.005.

***

<A>
A geometry-optimized GdSc2Mn structure, computed with PBE-GGA.

## Properties
The space group is P4/mmm.

Unit cell a=3.2138 b=3.2138 c=8.6457 alpha=90.00 beta=90.00 gamma=90.00
Fractional positions:
Gd 0.0000 0.0000 0.0000
Sc 0.5000 0.5000 0.3175
Sc 0.5000 0.5000 0.6825
Mn 0.0000 0.0000 0.5000

***

<B>
A geometry-optimized GdSc2Mn structure, computed with PBE-GGA.

## Properties
The space group is R-3m.

Unit cell a=5.0443 b=5.0443 c=5.0443 alpha=59.87 beta=59.87 gamma=59.87
Fractional positions:
Gd 0.0000 0.0000 0.0000
Sc 0.2493 0.2493 0.2493
Sc 0.7507 0.7507 0.7507
Mn 0.5000 0.5000 0.5000

***

Energies in eV/atom, measured from the most stable structure: <A> 0.000; <B> 0.143.

***

<A>
A geometry-optimized SmGd2Mn structure, computed with PBE-GGA.

## Properties
The space group is P4/mmm.

Unit cell a=3.5176 b=3.5176 c=8.9958 alpha=90.00 beta=90.00 gamma=90.00
Fractional positions:
Sm 0.0000 0.0000 0.0000
Gd 0.5000 0.5000 0.3032
Gd 0.5000 0.5000 0.6968
Mn 0.0000 0.0000 0.5000

***

<B>
A geometry-optimized SmGd2Mn structure, computed with PBE-GGA.

## Properties
The space group is P4/mmm.

Unit cell a=4.7633 b=4.7633 c=4.8945 alpha=90.00 beta=90.00 gamma=90.00
Fractional positions:
Sm 0.0000 0.0000 0.0000
Gd 0.0000 0.5000 0.5000
Gd 0.5000 0.0000 0.5000
Mn 0.5000 0.5000 0.0000

***

<C>
A geometry-optimized SmGd2Mn structure, computed with PBE-GGA.

## Properties
The space group is Fm-3m.

Unit cell a=5.4159 b=5.4159 c=5.4159 alpha=60.00 beta=60.00 gamma=60.00
Fractional positions:
Sm 0.0000 0.0000 0.0000
Gd 0.2500 0.2500 0.2500
Gd 0.7500 0.7500 0.7500
Mn 0.5000 0.5000 0.5000

***

Energies in eV/atom, measured from the most stable structure: <A> 0.000; <B> 0.163; <C> 0.233.